# Y3PuRu8 | the Alexandria database | PBE | relaxed
# * VASP energy: -9.232 eV/atom
# * DFT formation energy: -0.237 eV per atom
# * size of the total moment: 0.256 μB/atom
data_Y3PuRu8
_cell_length_a 5.3330
_cell_length_b 5.3330
_cell_length_c 26.2068
_cell_angle_alpha 90.00
_cell_angle_beta 90.00
_cell_angle_gamma 120.00
_symmetry_space_group_name_H-M 'R 3 m'
_symmetry_Int_Tables_number 160
_symmetry_space_group_name_Hall 'R 3 -2"'
loop_
_atom_site_label
_atom_site_fract_x
_atom_site_fract_y
_atom_site_fract_z
Y1 0.0000 0.0000 0.0000
Y2 0.0000 0.0000 0.1248
Y3 0.0000 0.0000 0.4999
Pu1 0.0000 0.0000 0.6248
Ru1 0.0000 0.0000 0.3116
Ru2 0.0000 0.0000 0.8119
Ru3 0.0018 0.5009 0.5627
Ru4 0.1672 0.3344 0.3951

***

# YPu2Ru3 | the Alexandria database | PBE | relaxed
# * VASP energy: -10.703 eV/atom
# * DFT formation energy: -0.211 eV per atom
# * size of the total moment: 1.405 μB/atom
# * offset from the most stable computed form: 0.00 kcal/mol of atoms
data_YPu2Ru3
_cell_length_a 3.376
_cell_length_b 3.376
_cell_length_c 10.281
_cell_angle_alpha 90.00
_cell_angle_beta 90.00
_cell_angle_gamma 90.00
_symmetry_space_group_name_H-M 'P 4/m m m'
_symmetry_Int_Tables_number 123
_symmetry_space_group_name_Hall '-P 4 2'
loop_
_atom_site_label
_atom_site_fract_x
_atom_site_fract_y
_atom_site_fract_z
Y1 0.000 0.000 0.000
Pu1 0.000 0.000 0.335
Ru1 0.500 0.500 0.181
Ru2 0.500 0.500 0.500

***

# YPu3Ru2 | the Alexandria database | PBE | relaxed
# * VASP energy: -11.386 eV/atom
# * DFT formation energy: -0.051 eV per atom
# * size of the total moment: 0.404 μB/atom
# * offset from the most stable computed form: 0.59 kcal/mol of atoms
data_YPu3Ru2
_cell_length_a 16.529
_cell_length_b 4.064
_cell_length_c 7.328
_cell_angle_alpha 90.00
_cell_angle_beta 108.91
_cell_angle_gamma 90.00
_symmetry_space_group_name_H-M 'C 1 2/m 1'
_symmetry_Int_Tables_number 12
loop_
_symmetry_equiv_pos_as_xyz
'x,y,z'
'-x,-y,-z'
'-x,y,-z'
'x,-y,z'
'x+1/2,y+1/2,z'
'-x+1/2,-y+1/2,-z'
'-x+1/2,y+1/2,-z'
'x+1/2,-y+1/2,z'
loop_
_atom_site_label
_atom_site_fract_x
_atom_site_fract_y
_atom_site_fract_z
Y1 0.116 0.000 0.179
Pu1 0.054 0.000 0.653
Pu2 0.122 0.500 0.558
Pu3 0.213 0.500 0.937
Ru1 0.032 0.500 0.863
Ru2 0.238 0.000 0.643